(1)
Cr2TcNiH: optimized geometry, PBE.

Relative energy among the computed polymorphs ... 44 meV per atom
D(E_F) ... 4.39 states/eV/cell
Crystal system ... tetragonal
Magnetic moment ... 0.0 μB/f.u.

CIF file:
```
data_Cr2TcNiH
_chemical_formula_sum 'Cr2 Tc1 Ni1 H1'
_space_group_name_H-M_alt 'P 1'
_space_group_IT_number 1
_cell_length_a 3.684
_cell_length_b 3.684
_cell_length_c 3.762
_cell_angle_alpha 90.00
_cell_angle_beta 90.00
_cell_angle_gamma 90.00
loop_
_space_group_symop_operation_xyz
'x,y,z'
loop_
_atom_site_label
_atom_site_type_symbol
_atom_site_fract_x
_atom_site_fract_y
_atom_site_fract_z
Cr1 Cr 0.500 0.000 0.000
Cr2 Cr 0.000 0.500 0.000
Tc1 Tc 0.000 0.000 0.500
Ni1 Ni 0.500 0.500 0.500
H1 H 0.000 0.000 0.000
```

(2)
Cr2TcNiH: optimized geometry, PBE.

Relative energy among the computed polymorphs ... 0 meV per atom
D(E_F) ... 4.06 states/eV/cell
Crystal system ... tetragonal
Magnetic moment ... 0.3 μB/f.u.

CIF file:
```
data_Cr2TcNiH
_chemical_formula_sum 'Cr2 Tc1 Ni1 H1'
_space_group_name_H-M_alt 'P 1'
_space_group_IT_number 1
_cell_length_a 3.760
_cell_length_b 3.760
_cell_length_c 3.566
_cell_angle_alpha 90.00
_cell_angle_beta 90.00
_cell_angle_gamma 90.00
loop_
_space_group_symop_operation_xyz
'x,y,z'
loop_
_atom_site_label
_atom_site_type_symbol
_atom_site_fract_x
_atom_site_fract_y
_atom_site_fract_z
Cr1 Cr 0.500 0.000 0.000
Cr2 Cr 0.000 0.500 0.000
Ni1 Ni 0.000 0.000 0.500
H1 H 0.000 0.000 0.000
Tc1 Tc 0.500 0.500 0.500
```

(3)
VCrNi2H: optimized geometry, PBE.

Relative energy among the computed polymorphs ... 0 meV per atom
D(E_F) ... 3.94 states/eV/cell
Crystal system ... tetragonal
Magnetic moment ... 1.4 μB/f.u.

CIF file:
```
data_VCrNi2H
_chemical_formula_sum 'V1 Cr1 Ni2 H1'
_space_group_name_H-M_alt 'P 1'
_space_group_IT_number 1
_cell_length_a 3.550
_cell_length_b 3.550
_cell_length_c 3.878
_cell_angle_alpha 90.00
_cell_angle_beta 90.00
_cell_angle_gamma 90.00
loop_
_space_group_symop_operation_xyz
'x,y,z'
loop_
_atom_site_label
_atom_site_type_symbol
_atom_site_fract_x
_atom_site_fract_y
_atom_site_fract_z
V1 V 0.500 0.500 0.500
Ni1 Ni 0.500 0.000 0.000
Ni2 Ni 0.000 0.500 0.000
H1 H 0.000 0.000 0.000
Cr1 Cr 0.000 0.000 0.500
```

(4)
VCrNi2H: optimized geometry, PBE.

Relative energy among the computed polymorphs ... 18 meV per atom
D(E_F) ... 4.41 states/eV/cell
Crystal system ... tetragonal
Magnetic moment ... 1.1 μB/f.u.

CIF file:
```
data_VCrNi2H
_chemical_formula_sum 'V1 Cr1 Ni2 H1'
_space_group_name_H-M_alt 'P 1'
_space_group_IT_number 1
_cell_length_a 3.531
_cell_length_b 3.531
_cell_length_c 3.933
_cell_angle_alpha 90.00
_cell_angle_beta 90.00
_cell_angle_gamma 90.00
loop_
_space_group_symop_operation_xyz
'x,y,z'
loop_
_atom_site_label
_atom_site_type_symbol
_atom_site_fract_x
_atom_site_fract_y
_atom_site_fract_z
Ni1 Ni 0.000 0.500 0.000
Ni2 Ni 0.500 0.000 0.000
V1 V 0.000 0.000 0.500
H1 H 0.000 0.000 0.000
Cr1 Cr 0.500 0.500 0.500
```

(5)
VCr2NiH: optimized geometry, PBE.

Relative energy among the computed polymorphs ... 23 meV per atom
D(E_F) ... 5.79 states/eV/cell
Crystal system ... tetragonal
Magnetic moment ... 0.0 μB/f.u.

CIF file:
```
data_VCr2NiH
_chemical_formula_sum 'V1 Cr2 Ni1 H1'
_space_group_name_H-M_alt 'P 1'
_space_group_IT_number 1
_cell_length_a 3.708
_cell_length_b 3.708
_cell_length_c 3.586
_cell_angle_alpha 90.00
_cell_angle_beta 90.00
_cell_angle_gamma 90.00
loop_
_space_group_symop_operation_xyz
'x,y,z'
loop_
_atom_site_label
_atom_site_type_symbol
_atom_site_fract_x
_atom_site_fract_y
_atom_site_fract_z
H1 H 0.000 0.000 0.000
V1 V 0.500 0.500 0.500
Ni1 Ni 0.000 0.000 0.500
Cr1 Cr 0.000 0.500 0.000
Cr2 Cr 0.500 0.000 0.000
```

(6)
VCr2NiH: optimized geometry, PBE.

Relative energy among the computed polymorphs ... 0 meV per atom
D(E_F) ... 6.67 states/eV/cell
Crystal system ... tetragonal
Magnetic moment ... 0.0 μB/f.u.

CIF file:
```
data_VCr2NiH
_chemical_formula_sum 'V1 Cr2 Ni1 H1'
_space_group_name_H-M_alt 'P 1'
_space_group_IT_number 1
_cell_length_a 3.621
_cell_length_b 3.621
_cell_length_c 3.779
_cell_angle_alpha 90.00
_cell_angle_beta 90.00
_cell_angle_gamma 90.00
loop_
_space_group_symop_operation_xyz
'x,y,z'
loop_
_atom_site_label
_atom_site_type_symbol
_atom_site_fract_x
_atom_site_fract_y
_atom_site_fract_z
H1 H 0.000 0.000 0.000
Cr1 Cr 0.000 0.500 0.000
Cr2 Cr 0.500 0.000 0.000
V1 V 0.000 0.000 0.500
Ni1 Ni 0.500 0.500 0.500
```

(7)
CrNi2HW: optimized geometry, PBE.

Relative energy among the computed polymorphs ... 0 meV per atom
D(E_F) ... 3.22 states/eV/cell
Crystal system ... tetragonal
Magnetic moment ... 0.8 μB/f.u.

CIF file:
```
data_CrNi2HW
_chemical_formula_sum 'Cr1 Ni2 H1 W1'
_space_group_name_H-M_alt 'P 1'
_space_group_IT_number 1
_cell_length_a 3.596
_cell_length_b 3.596
_cell_length_c 3.949
_cell_angle_alpha 90.00
_cell_angle_beta 90.00
_cell_angle_gamma 90.00
loop_
_space_group_symop_operation_xyz
'x,y,z'
loop_
_atom_site_label
_atom_site_type_symbol
_atom_site_fract_x
_atom_site_fract_y
_atom_site_fract_z
Ni1 Ni 0.000 0.500 0.000
Ni2 Ni 0.500 0.000 0.000
H1 H 0.000 0.000 0.000
W1 W 0.500 0.500 0.500
Cr1 Cr 0.000 0.000 0.500
```

(8)
CrNi2HW: optimized geometry, PBE.

Relative energy among the computed polymorphs ... 51 meV per atom
D(E_F) ... 5.15 states/eV/cell
Crystal system ... tetragonal
Magnetic moment ... 1.3 μB/f.u.

CIF file:
```
data_CrNi2HW
_chemical_formula_sum 'Cr1 Ni2 H1 W1'
_space_group_name_H-M_alt 'P 1'
_space_group_IT_number 1
_cell_length_a 3.592
_cell_length_b 3.592
_cell_length_c 4.027
_cell_angle_alpha 90.00
_cell_angle_beta 90.00
_cell_angle_gamma 90.00
loop_
_space_group_symop_operation_xyz
'x,y,z'
loop_
_atom_site_label
_atom_site_type_symbol
_atom_site_fract_x
_atom_site_fract_y
_atom_site_fract_z
Ni1 Ni 0.000 0.500 0.000
Ni2 Ni 0.500 0.000 0.000
Cr1 Cr 0.500 0.500 0.500
H1 H 0.000 0.000 0.000
W1 W 0.000 0.000 0.500
```

What is the formula in the second record?
Cr2TcNiH

Which value of magnetic moment does entry 7 give?
0.8 μB/f.u.